SnTe2IrN: optimized geometry, PBE.

Summary:
total magnetization = 0.00 μB/f.u.
D(E_F) = 0.547 states/eV per atom
raw formation energy = 1.0 eV/f.u.

Cell lengths 5.632, 5.632, 3.697 Å; angles 90.00, 90.00, 90.00 degrees
Space group P4/mmm (No. 123)
Asymmetric unit:
1 Sn 0.000 0.000 0.000 x1
2 Te 0.000 0.500 0.500 x2
3 Ir 0.500 0.500 0.500 x1
4 N 0.500 0.500 0.000 x1